AcLaTb4 PBE optimized geometry; energy of formation from the pure elements = 726 meV/atom; crystal system = hexagonal; Fermi-level density of states = 33.5 states/eV per cell; calculated total energy = -3.867 eV per atom
1.0
11.2981 0.0000 0.0000
-5.6490 9.7844 0.0000
0.0000 0.0000 6.9157
Ac La Tb
3 3 12
direct
0.0000 0.5000 0.1667 Ac
0.5000 0.0000 0.5000 Ac
0.5000 0.5000 0.8333 Ac
0.0000 0.5000 0.6667 La
0.5000 0.0000 0.0000 La
0.5000 0.5000 0.3333 La
0.1499 0.3048 0.7514 Tb
0.1499 0.8450 0.5819 Tb
0.1550 0.3048 0.2486 Tb
0.1550 0.8501 0.0848 Tb
0.3048 0.1499 0.9152 Tb
0.3048 0.1550 0.4181 Tb
0.6952 0.8450 0.4181 Tb
0.6952 0.8501 0.9152 Tb
0.8450 0.1499 0.0848 Tb
0.8450 0.6952 0.2486 Tb
0.8501 0.1550 0.5819 Tb
0.8501 0.6952 0.7514 Tb

=====

Cs3InCl6 PBE optimized geometry; crystal system = cubic; Fermi-level density of states = 0.0 states/eV per cell; calculated total energy = -3.298 eV per atom
1.0
0.0000 5.8098 5.8098
5.8098 0.0000 5.8098
5.8098 5.8098 0.0000
Cs In Cl
3 1 6
direct
0.0000 0.0000 0.0000 Cs
0.2500 0.2500 0.2500 Cs
0.7500 0.7500 0.7500 Cs
0.5000 0.5000 0.5000 In
0.2807 0.2807 0.7193 Cl
0.2807 0.7193 0.2807 Cl
0.2807 0.7193 0.7193 Cl
0.7193 0.2807 0.2807 Cl
0.7193 0.2807 0.7193 Cl
0.7193 0.7193 0.2807 Cl

=====

Sr4Ti2Se PBE optimized geometry; crystal system = tetragonal; Fermi-level density of states = 8.7 states/eV per cell; calculated total energy = -3.547 eV per atom
1.0
-3.1534 3.1534 7.5210
3.1534 -3.1534 7.5210
3.1534 3.1534 -7.5210
Sr Ti Se
4 2 1
direct
0.0000 0.5000 0.5000 Sr
0.1995 0.1995 0.0000 Sr
0.5000 0.0000 0.5000 Sr
0.8005 0.8005 0.0000 Sr
0.4300 0.4300 0.0000 Ti
0.5700 0.5700 0.0000 Ti
0.0000 0.0000 0.0000 Se

=====

SbMoIr2 PBE optimized geometry; crystal system = cubic; Fermi-level density of states = 2.2 states/eV per cell; calculated total energy = -7.934 eV per atom
1.0
0.0000 3.2018 3.2018
3.2018 0.0000 3.2018
3.2018 3.2018 0.0000
Sb Mo Ir
1 1 2
direct
0.0000 0.0000 0.0000 Sb
0.2500 0.2500 0.2500 Mo
0.5000 0.5000 0.5000 Ir
0.7500 0.7500 0.7500 Ir

=====

Pa4CS3 PBE optimized geometry; crystal system = orthorhombic; Fermi-level density of states = 10.0 states/eV per cell; calculated total energy = -8.779 eV per atom
1.0
3.9756 -5.4163 0.0000
3.9756 5.4163 0.0000
0.0000 0.0000 3.6880
Pa C S
4 1 3
direct
0.2241 0.2241 0.5000 Pa
0.2390 0.7610 0.0000 Pa
0.7610 0.2390 0.0000 Pa
0.7759 0.7759 0.5000 Pa
0.0000 0.0000 0.0000 C
0.0000 0.5000 0.5000 S
0.5000 0.0000 0.5000 S
0.5000 0.5000 0.0000 S

=====

SbMoOs2 PBE optimized geometry; crystal system = tetragonal; Fermi-level density of states = 2.8 states/eV per cell; calculated total energy = -8.909 eV per atom
1.0
3.0209 0.0000 0.0000
0.0000 3.0209 0.0000
0.0000 0.0000 7.1334
Sb Mo Os
1 1 2
direct
0.0000 0.0000 0.0000 Sb
0.5000 0.5000 0.2765 Mo
0.0000 0.0000 0.5053 Os
0.5000 0.5000 0.7573 Os

=====

AlFe2Sb PBE optimized geometry; crystal system = tetragonal; Fermi-level density of states = 1.3 states/eV per cell; calculated total energy = -6.115 eV per atom
1.0
3.0226 0.0000 0.0000
0.0000 3.0226 0.0000
0.0000 0.0000 7.4358
Al Fe Sb
1 2 1
direct
0.0000 0.0000 0.0000 Al
0.0000 0.0000 0.3541 Fe
0.5000 0.5000 0.1816 Fe
0.5000 0.5000 0.5839 Sb

=====

LiEuThPt PBE optimized geometry; energy of formation from the pure elements = -412 meV/atom; crystal system = cubic; Fermi-level density of states = 3.6 states/eV per cell; calculated total energy = -6.825 eV per atom
1.0
0.0000 3.6384 3.6384
3.6384 0.0000 3.6384
3.6384 3.6384 0.0000
Li Eu Th Pt
1 1 1 1
direct
0.0000 0.0000 0.0000 Li
0.7500 0.7500 0.7500 Eu
0.2500 0.2500 0.2500 Th
0.5000 0.5000 0.5000 Pt